# Nd2Sb3Pd4Au, relaxed, DFT PBE
data_Nd2Sb3Pd4Au
_space_group_name_H-M_alt 'P -4 m 2'
_space_group_IT_number 115
_cell_length_a 4.534
_cell_length_b 4.534
_cell_length_c 10.807
_cell_angle_alpha 90.00
_cell_angle_beta 90.00
_cell_angle_gamma 90.00
loop_
_space_group_symop_operation_xyz
'x,y,z'
'y,-x,-z'
'-x,-y,z'
'-y,x,-z'
'-x,y,z'
'-y,-x,-z'
'x,-y,z'
'y,x,-z'
loop_
_atom_site_label
_atom_site_type_symbol
_atom_site_fract_x
_atom_site_fract_y
_atom_site_fract_z
Nd1 Nd 0.000 0.500 0.247
Sb1 Sb 0.000 0.500 0.868
Sb2 Sb 0.500 0.500 0.500
Pd1 Pd 0.000 0.000 0.000
Pd2 Pd 0.000 0.500 0.632
Pd3 Pd 0.500 0.500 0.000
Au1 Au 0.000 0.000 0.500
# Raw formation energy: -0.774 eV/atom
# Raw total energy: -5.369 eV per atom
# M_tot: 0.000 μB per formula unit
# V: 222 Å³/cell